DFT (PBE-GGA) results for a relaxed structure of AlReTcGe2.

For the formation energy, the calculation gives 1.17 eV per atom. As for the distance to the lowest polymorph of the same formula: 178 meV/atom. The volume comes out at 21.2 Å³ per atom. Its density of states at the Fermi level is 0.6184 states/eV/atom. The value obtained for the mass density is 7.15 g/cm3.

The structure belongs to space group P4/mmm (No. 123); the cell edges are 4.725, 4.725 and 4.751 Å and the angles 90.00°, 90.00° and 90.00°. Symmetry generates all atoms from Al at (0.000, 0.000, 0.000), Re at (0.500, 0.500, 0.000), Tc at (0.000, 0.000, 0.500) and Ge at (0.000, 0.500, 0.500).